No. 1
Compound: OsBrO2F
Source: the Alexandria database
Functional: GGA-PBE
Structure: optimized geometry

Cell and atoms, written as POSCAR:
```
OsBrO2F
1.0
3.7996 0.0000 0.0000
0.0000 3.7996 0.0000
0.0000 0.0000 5.4854
Os Br O F
1 1 2 1
Cartesian
0.0000 0.0000 0.0000
1.8998 1.8998 2.7427
0.0000 1.8998 2.7427
1.8998 0.0000 2.7427
1.8998 1.8998 0.0000
```

Energy relative to the elements, uncorrected: 1289.1 meV per atom
Magnetization: 4.1 μB per formula unit

---

No. 2
Compound: OsBrO2F
Source: the Alexandria database
Functional: GGA-PBE
Structure: optimized geometry

Cell and atoms, written as POSCAR:
```
OsBrO2F
1.0
3.8325 0.0000 0.0000
0.0000 3.8325 0.0000
0.0000 0.0000 4.4790
Os Br O F
1 1 2 1
Cartesian
0.0000 0.0000 0.0000
1.9162 1.9162 2.2395
0.0000 1.9162 0.0000
1.9162 0.0000 0.0000
0.0000 0.0000 2.2395
```

Energy relative to the elements, uncorrected: -361.2 meV per atom
Magnetization: 0.0 μB per formula unit

---

No. 3
Compound: PBrOF2
Source: the Alexandria database
Functional: GGA-PBE
Structure: optimized geometry

Cell and atoms, written as POSCAR:
```
PBrOF2
1.0
4.5215 0.0000 0.0000
0.0000 4.5215 0.0000
0.0000 0.0000 4.0409
P Br O F
1 1 1 2
Cartesian
0.0000 0.0000 0.0000
2.2607 2.2607 2.0205
2.2607 2.2607 0.0000
0.0000 2.2607 2.0205
2.2607 0.0000 2.0205
```

E above lowest polymorph: 1.020 eV per atom
Energy relative to the elements, uncorrected: 519.9 meV per atom
Magnetization: 2.0 μB per formula unit

---

No. 4
Compound: PBrOF2
Source: the Alexandria database
Functional: GGA-PBE
Structure: optimized geometry

Cell and atoms, written as POSCAR:
```
PBrOF2
1.0
3.8720 0.0000 0.0000
0.0000 3.8720 0.0000
0.0000 0.0000 4.5221
P Br O F
1 1 1 2
Cartesian
0.0000 0.0000 0.0000
1.9360 1.9360 2.2611
0.0000 0.0000 2.2611
0.0000 1.9360 0.0000
1.9360 0.0000 0.0000
```

E above lowest polymorph: 0.000 eV per atom
Energy relative to the elements, uncorrected: -499.9 meV per atom
Magnetization: 0.0 μB per formula unit

---

No. 5
Compound: PBrO2F
Source: the Alexandria database
Functional: GGA-PBE
Structure: optimized geometry

Cell and atoms, written as POSCAR:
```
PBrO2F
1.0
3.3852 0.0000 0.0000
0.0000 3.3852 0.0000
0.0000 0.0000 6.6037
P Br O F
1 1 2 1
Cartesian
0.0000 0.0000 0.0000
1.6926 1.6926 3.3018
0.0000 1.6926 0.0000
1.6926 0.0000 0.0000
0.0000 0.0000 3.3018
```

Energy relative to the elements, uncorrected: -480.4 meV per atom
Magnetization: 0.0 μB per formula unit

---

No. 6
Compound: PBrO2F
Source: the Alexandria database
Functional: GGA-PBE
Structure: optimized geometry

Cell and atoms, written as POSCAR:
```
PBrO2F
1.0
4.5557 0.0000 0.0000
0.0000 4.5557 0.0000
0.0000 0.0000 3.7260
P Br O F
1 1 2 1
Cartesian
0.0000 0.0000 0.0000
2.2779 2.2779 0.0000
0.0000 2.2779 1.8630
2.2779 0.0000 1.8630
0.0000 0.0000 1.8630
```

Energy relative to the elements, uncorrected: 986.5 meV per atom
Magnetization: 3.1 μB per formula unit

---

No. 7
Compound: P2BrOF
Source: the Alexandria database
Functional: GGA-PBE
Structure: optimized geometry

Cell and atoms, written as POSCAR:
```
P2BrOF
1.0
4.9045 0.0000 0.0000
0.0000 4.9045 0.0000
0.0000 0.0000 3.9483
P Br O F
2 1 1 1
Cartesian
0.0000 2.4522 0.0000
2.4522 0.0000 0.0000
0.0000 0.0000 0.0000
0.0000 0.0000 1.9741
2.4522 2.4522 1.9741
```

E above lowest polymorph: 0.124 eV per atom
Energy relative to the elements, uncorrected: 1157.3 meV per atom
Magnetization: 1.8 μB per formula unit

---

No. 8
Compound: PBrO2F
Source: the Alexandria database
Functional: GGA-PBE
Structure: optimized geometry

Cell and atoms, written as POSCAR:
```
PBrO2F
1.0
3.7090 0.0000 0.0000
0.0000 3.7090 0.0000
0.0000 0.0000 5.4515
P Br O F
1 1 2 1
Cartesian
0.0000 0.0000 0.0000
0.0000 0.0000 2.7257
0.0000 1.8545 2.7257
1.8545 0.0000 2.7257
1.8545 1.8545 0.0000
```

Energy relative to the elements, uncorrected: 664.9 meV per atom
Magnetization: 0.0 μB per formula unit